Entry 1:
VASP calculation (SCAN) on a crystal of KZnHg2 relaxed with PBEsol.

a b c (Å): 4.748 4.748 4.574
angles (deg): 90.00 90.00 90.00
Fractional positions:
K  0.000  0.000  0.000
Zn  0.500  0.500  0.000
Hg  0.000  0.500  0.500
Hg  0.500  0.000  0.500

- symmetry = No. 123
- ΔH_f (0 K) (meV/atom) = -27
- electronic total energy (eV per atom) = -39.571

Entry 2:
VASP calculation (SCAN) on a crystal of Tb2Ti3Si4 relaxed with PBEsol.

a b c (Å): 6.988 6.988 12.864
angles (deg): 90.00 90.00 90.00
Fractional positions:
Tb  0.003  0.339  0.033
Tb  0.161  0.503  0.283
Tb  0.339  0.003  0.967
Tb  0.497  0.839  0.217
Tb  0.503  0.161  0.717
Tb  0.661  0.997  0.467
Tb  0.839  0.497  0.783
Tb  0.997  0.661  0.533
Ti  0.008  0.153  0.623
Ti  0.153  0.008  0.377
Ti  0.172  0.828  0.750
Ti  0.328  0.328  0.500
Ti  0.347  0.508  0.873
Ti  0.492  0.653  0.627
Ti  0.508  0.347  0.127
Ti  0.653  0.492  0.373
Ti  0.672  0.672  0.000
Ti  0.828  0.172  0.250
Ti  0.847  0.992  0.877
Ti  0.992  0.847  0.123
Si  0.046  0.709  0.935
Si  0.130  0.202  0.815
Si  0.202  0.130  0.185
Si  0.209  0.454  0.685
Si  0.291  0.954  0.565
Si  0.298  0.630  0.065
Si  0.370  0.702  0.435
Si  0.454  0.209  0.315
Si  0.546  0.791  0.815
Si  0.630  0.298  0.935
Si  0.702  0.370  0.565
Si  0.709  0.046  0.065
Si  0.791  0.546  0.185
Si  0.798  0.870  0.685
Si  0.870  0.798  0.315
Si  0.954  0.291  0.435

- E_form (uncorrected) (meV per atom) = -827
- symmetry = No. 92
- electronic total energy (eV per atom) = -21.014

Entry 3:
VASP calculation (SCAN) on a crystal of HfBeTe2 relaxed with PBEsol.

a b c (Å): 8.975 8.975 8.975
angles (deg): 22.25 22.25 22.25
Fractional positions:
Hf  0.000  0.000  0.000
Be  0.500  0.500  0.500
Te  0.108  0.108  0.108
Te  0.892  0.892  0.892

- E_form (uncorrected) (meV per atom) = 286
- symmetry = No. 166
- electronic total energy (eV per atom) = -35.096

Entry 4:
VASP calculation (SCAN) on a crystal of HgSbRh relaxed with PBEsol.

a b c (Å): 4.463 4.463 4.463
angles (deg): 60.00 60.00 60.00
Fractional positions:
Hg  0.000  0.000  0.000
Sb  0.500  0.500  0.500
Rh  0.750  0.750  0.750

- E_form (uncorrected) (meV per atom) = -123
- symmetry = No. 216
- electronic total energy (eV per atom) = -46.523

Entry 5:
VASP calculation (SCAN) on a crystal of NaCaN2O relaxed with PBEsol.

a b c (Å): 4.207 4.207 4.142
angles (deg): 90.00 90.00 90.00
Fractional positions:
Na  0.000  0.000  0.000
Ca  0.500  0.500  0.500
N  0.000  0.500  0.000
N  0.500  0.000  0.000
O  0.000  0.000  0.500

- E_form (uncorrected) (meV per atom) = 564
- symmetry = No. 123
- electronic total energy (eV per atom) = -7.174

Entry 6:
VASP calculation (SCAN) on a crystal of Mn2Au3 relaxed with PBEsol.

a b c (Å): 9.315 9.315 9.315
angles (deg): 161.98 161.98 25.59
Fractional positions:
Mn  0.206  0.206  0.000
Mn  0.794  0.794  0.000
Au  0.000  0.000  0.000
Au  0.388  0.388  0.000
Au  0.612  0.612  0.000

- symmetry = No. 139
- ΔH_f (0 K) (meV/atom) = -169
- electronic total energy (eV per atom) = -48.965

Entry 7:
VASP calculation (SCAN) on a crystal of CoW relaxed with PBEsol.

a b c (Å): 8.682 8.682 8.682
angles (deg): 17.79 17.79 17.79
Fractional positions:
Co  0.129  0.129  0.129
Co  0.871  0.871  0.871
W  0.382  0.382  0.382
W  0.618  0.618  0.618

- symmetry = No. 166
- ΔH_f (0 K) (meV/atom) = 391
- electronic total energy (eV per atom) = -43.105

Entry 8:
VASP calculation (SCAN) on a crystal of Na2SnPd2 relaxed with PBEsol.

a b c (Å): 6.652 6.652 4.784
angles (deg): 90.00 90.00 90.00
Fractional positions:
Na  0.168  0.332  0.000
Na  0.332  0.832  0.000
Na  0.668  0.168  0.000
Na  0.832  0.668  0.000
Sn  0.000  0.000  0.500
Sn  0.500  0.500  0.500
Pd  0.140  0.640  0.500
Pd  0.360  0.140  0.500
Pd  0.640  0.860  0.500
Pd  0.860  0.360  0.500

- symmetry = No. 127
- ΔH_f (0 K) (meV/atom) = -315
- electronic total energy (eV per atom) = -22.295

Entry 9:
VASP calculation (SCAN) on a crystal of FeOsW2 relaxed with PBEsol.

a b c (Å): 2.688 2.688 7.764
angles (deg): 90.00 90.00 90.00
Fractional positions:
Fe  0.000  0.000  0.000
Os  0.500  0.500  0.786
W  0.000  0.000  0.524
W  0.500  0.500  0.239

- symmetry = No. 99
- ΔH_f (0 K) (meV/atom) = 249
- electronic total energy (eV per atom) = -57.097

Entry 10:
VASP calculation (SCAN) on a crystal of LiIn2Ga2 relaxed with PBEsol.

a b c (Å): 7.270 7.270 3.966
angles (deg): 90.00 90.00 90.00
Fractional positions:
Li  0.000  0.000  0.000
Li  0.500  0.500  0.000
In  0.179  0.321  0.500
In  0.321  0.821  0.500
In  0.679  0.179  0.500
In  0.821  0.679  0.500
Ga  0.126  0.626  0.000
Ga  0.374  0.126  0.000
Ga  0.626  0.874  0.000
Ga  0.874  0.374  0.000

- symmetry = No. 127
- ΔH_f (0 K) (meV/atom) = -72
- electronic total energy (eV per atom) = -20.443

Entry 11:
VASP calculation (SCAN) on a crystal of SnGeTe3 relaxed with PBEsol.

a b c (Å): 5.574 5.574 5.574
angles (deg): 90.00 90.00 90.00
Fractional positions:
Sn  0.000  0.000  0.000
Ge  0.500  0.500  0.500
Te  0.000  0.000  0.500
Te  0.000  0.500  0.000
Te  0.500  0.000  0.000

- E_form (uncorrected) (meV per atom) = 743
- symmetry = No. 221
- electronic total energy (eV per atom) = -32.609

Entry 12:
VASP calculation (SCAN) on a crystal of CaFeCu2 relaxed with PBEsol.

a b c (Å): 5.274 5.274 5.274
angles (deg): 147.24 129.29 61.70
Fractional positions:
Ca  0.000  0.000  0.000
Fe  0.719  0.219  0.500
Cu  0.276  0.776  0.500
Cu  0.494  0.494  0.000

- symmetry = No. 44
- ΔH_f (0 K) (meV/atom) = 350
- electronic total energy (eV per atom) = -14.198